An optimized crystal structure of YHf3I. Source: Alexandria via LeMat-Bulk, functional PBE.

a = 5.3300 Å, b = 5.3300 Å, c = 5.3300 Å
α = 90.00°, β = 90.00°, γ = 90.00°
Space group Pm-3m (No. 221)
Inequivalent atoms, fractional coordinates:
Y  0.0000  0.0000  0.0000
Hf  0.0000  0.0000  0.5000
I  0.5000  0.5000  0.5000

## Properties
For the offset from the most stable computed form, the calculation gives 781 meV per atom. The calculation puts the raw formation energy at 156 kJ/mol of atoms.